[1]
# CrGaTcPd, relaxed, DFT GGA-PBE
# * energy of formation from the pure elements: -0.667 eV per formula unit
# * VASP energy: -7.22 eV/atom
data_CrGaTcPd
_chemical_formula_sum 'Cr1 Ga1 Tc1 Pd1'
_symmetry_space_group_name_H-M 'P 1'
_symmetry_Int_Tables_number 1
_symmetry_space_group_name_Hall 'P 1'
_cell_length_a 4.316
_cell_length_b 4.316
_cell_length_c 4.316
_cell_angle_alpha 60.00
_cell_angle_beta 60.00
_cell_angle_gamma 60.00
loop_
_atom_site_label
_atom_site_fract_x
_atom_site_fract_y
_atom_site_fract_z
_atom_site_occupancy
Cr1 0.750 0.750 0.750 1
Ga1 0.250 0.250 0.250 1
Tc1 0.500 0.500 0.500 1
Pd1 0.000 0.000 0.000 1

[2]
# PHPtS2, relaxed, DFT GGA-PBE
# * ΔE to the lowest computed polymorph: 368 meV/atom
# * VASP energy: -3.45 eV/atom
data_PHPtS2
_chemical_formula_sum 'P1 H1 Pt1 S2'
_symmetry_space_group_name_H-M 'P 1'
_symmetry_Int_Tables_number 1
_symmetry_space_group_name_Hall 'P 1'
_cell_length_a 4.951
_cell_length_b 4.951
_cell_length_c 4.499
_cell_angle_alpha 90.00
_cell_angle_beta 90.00
_cell_angle_gamma 90.00
loop_
_atom_site_label
_atom_site_fract_x
_atom_site_fract_y
_atom_site_fract_z
_atom_site_occupancy
P1 0.000 0.000 0.500 1
S1 0.000 0.500 0.000 1
S2 0.500 0.000 0.000 1
Pt1 0.000 0.000 0.000 1
H1 0.500 0.500 0.500 1

[3]
# SrLa2Tc, relaxed, DFT GGA-PBE
# * energy of formation from the pure elements: 0.704 eV per formula unit
# * ΔE to the lowest computed polymorph: 73 meV/atom
# * VASP energy: -5.30 eV/atom
data_SrLa2Tc
_chemical_formula_sum 'Sr1 La2 Tc1'
_symmetry_space_group_name_H-M 'P 1'
_symmetry_Int_Tables_number 1
_symmetry_space_group_name_Hall 'P 1'
_cell_length_a 10.070
_cell_length_b 10.070
_cell_length_c 10.070
_cell_angle_alpha 24.11
_cell_angle_beta 24.11
_cell_angle_gamma 24.11
loop_
_atom_site_label
_atom_site_fract_x
_atom_site_fract_y
_atom_site_fract_z
_atom_site_occupancy
La1 0.033 0.033 0.033 1
La2 0.467 0.467 0.467 1
Sr1 0.250 0.250 0.250 1
Tc1 0.750 0.750 0.750 1

[4]
# UTl2HgCl6, relaxed, DFT GGA-PBE
# * E_form (uncorrected): -124 kJ per mole of atoms
# * VASP energy: -4.03 eV/atom
data_UTl2HgCl6
_chemical_formula_sum 'U1 Tl2 Hg1 Cl6'
_symmetry_space_group_name_H-M 'P 1'
_symmetry_Int_Tables_number 1
_symmetry_space_group_name_Hall 'P 1'
_cell_length_a 8.655
_cell_length_b 8.655
_cell_length_c 8.655
_cell_angle_alpha 54.65
_cell_angle_beta 54.65
_cell_angle_gamma 54.65
loop_
_atom_site_label
_atom_site_fract_x
_atom_site_fract_y
_atom_site_fract_z
_atom_site_occupancy
U1 0.015 0.015 0.015 1
Tl1 0.204 0.204 0.204 1
Tl2 0.673 0.673 0.673 1
Hg1 0.508 0.508 0.508 1
Cl1 0.372 0.038 0.849 1
Cl2 0.038 0.849 0.372 1
Cl3 0.974 0.207 0.661 1
Cl4 0.661 0.974 0.207 1
Cl5 0.849 0.372 0.038 1
Cl6 0.207 0.661 0.974 1

[5]
# NdTmSe, relaxed, DFT GGA-PBE
# * ΔE to the lowest computed polymorph: 267 meV/atom
# * E_form (uncorrected): -78 kJ per mole of atoms
# * VASP energy: -5.05 eV/atom
data_NdTmSe
_chemical_formula_sum 'Nd2 Tm2 Se2'
_symmetry_space_group_name_H-M 'P 1'
_symmetry_Int_Tables_number 1
_symmetry_space_group_name_Hall 'P 1'
_cell_length_a 5.674
_cell_length_b 6.509
_cell_length_c 5.674
_cell_angle_alpha 67.87
_cell_angle_beta 82.19
_cell_angle_gamma 112.13
loop_
_atom_site_label
_atom_site_fract_x
_atom_site_fract_y
_atom_site_fract_z
_atom_site_occupancy
Se1 0.283 0.000 0.717 1
Se2 0.783 0.000 0.217 1
Nd1 0.283 0.500 0.717 1
Nd2 0.783 0.500 0.217 1
Tm1 0.283 0.000 0.217 1
Tm2 0.783 0.000 0.717 1

[6]
# Ca4PmPa3P8, relaxed, DFT GGA-PBE
# * energy of formation from the pure elements: -20.642 eV per formula unit
# * VASP energy: -6.57 eV/atom
data_Ca4PmPa3P8
_chemical_formula_sum 'Ca4 Pm1 Pa3 P8'
_symmetry_space_group_name_H-M 'P 1'
_symmetry_Int_Tables_number 1
_symmetry_space_group_name_Hall 'P 1'
_cell_length_a 8.168
_cell_length_b 8.129
_cell_length_c 8.168
_cell_angle_alpha 120.16
_cell_angle_beta 120.00
_cell_angle_gamma 90.00
loop_
_atom_site_label
_atom_site_fract_x
_atom_site_fract_y
_atom_site_fract_z
_atom_site_occupancy
Ca1 0.500 0.000 0.000 1
Ca2 0.500 0.000 0.500 1
Ca3 0.000 0.000 0.000 1
Ca4 0.000 0.000 0.500 1
Pm1 0.000 0.500 0.000 1
Pa1 0.500 0.500 0.000 1
Pa2 0.500 0.500 0.500 1
Pa3 0.000 0.500 0.500 1
P1 0.250 0.732 0.982 1
P2 0.250 0.732 0.499 1
P3 0.257 0.270 0.513 1
P4 0.733 0.732 0.982 1
P5 0.267 0.268 0.018 1
P6 0.743 0.730 0.487 1
P7 0.750 0.268 0.501 1
P8 0.750 0.268 0.018 1

[7]
# K2UAg2Se6, relaxed, DFT GGA-PBE
# * E_form (uncorrected): -66 kJ per mole of atoms
# * VASP energy: -4.33 eV/atom
data_K2UAg2Se6
_chemical_formula_sum 'K2 U1 Ag2 Se6'
_symmetry_space_group_name_H-M 'P 1'
_symmetry_Int_Tables_number 1
_symmetry_space_group_name_Hall 'P 1'
_cell_length_a 6.714
_cell_length_b 6.714
_cell_length_c 8.088
_cell_angle_alpha 90.00
_cell_angle_beta 90.00
_cell_angle_gamma 120.00
loop_
_atom_site_label
_atom_site_fract_x
_atom_site_fract_y
_atom_site_fract_z
_atom_site_occupancy
K1 0.667 0.333 0.500 1
K2 0.333 0.667 0.500 1
U1 0.000 0.000 0.000 1
Ag1 0.333 0.667 0.000 1
Ag2 0.667 0.333 0.000 1
Se1 0.000 0.319 0.796 1
Se2 0.681 0.681 0.796 1
Se3 0.319 0.000 0.796 1
Se4 0.000 0.681 0.204 1
Se5 0.319 0.319 0.204 1
Se6 0.681 0.000 0.204 1

[8]
# Nb3CoH, relaxed, DFT GGA-PBE
# * ΔE to the lowest computed polymorph: 1303 meV/atom
# * VASP energy: -6.74 eV/atom
data_Nb3CoH
_chemical_formula_sum 'Nb3 Co1 H1'
_symmetry_space_group_name_H-M 'P 1'
_symmetry_Int_Tables_number 1
_symmetry_space_group_name_Hall 'P 1'
_cell_length_a 4.597
_cell_length_b 4.597
_cell_length_c 4.597
_cell_angle_alpha 90.00
_cell_angle_beta 90.00
_cell_angle_gamma 90.00
loop_
_atom_site_label
_atom_site_fract_x
_atom_site_fract_y
_atom_site_fract_z
_atom_site_occupancy
H1 0.500 0.500 0.500 1
Nb1 0.000 0.500 0.000 1
Nb2 0.000 0.000 0.500 1
Nb3 0.500 0.000 0.000 1
Co1 0.000 0.000 0.000 1

What did we get for mass density? Answer: 9.53 4.38 5.14 4.39 7.65 5.41 5.29 5.79 g cm⁻³, in the order shown.
What did we get for Fermi-level density of states? Answer: 0.700 5.069 4.530 5.829 7.010 10.876 8.426 3.113 states/eV per cell, in the order shown.